1) ## LiAlCoAs (PBE-GGA)

Data for an optimized crystal structure of LiAlCoAs.

## Properties
The calculated volume comes out at 51 Å³ per cell. As for the space group: F-43m.

Cell and atoms, written as POSCAR:
```
LiAlCoAs
1.0
0.979 1.302 3.818
-0.356 4.018 0.978
-2.988 1.247 2.598
Co Al As Li
1 1 1 1
direct
0.250 0.250 0.250
0.500 0.500 0.500
0.000 0.000 0.000
0.750 0.750 0.750
```

---

2) ## LiAlCoAs (PBE-GGA)

Data for an optimized crystal structure of LiAlCoAs.

## Properties
The calculated volume comes out at 55 Å³ per cell. As for the space group: F-43m.

Cell and atoms, written as POSCAR:
```
LiAlCoAs
1.0
0.850 2.291 3.490
1.620 3.922 -0.370
-2.393 3.392 0.956
Al Li Co As
1 1 1 1
direct
0.250 0.250 0.250
0.750 0.750 0.750
0.500 0.500 0.500
0.000 0.000 0.000
```

---

Which of them is the least stable? Correct choice: 2).

---

1) ## NaAlCoAs (PBE-GGA)

Data for an optimized crystal structure of NaAlCoAs.

## Properties
The calculated volume comes out at 64 Å³ per cell. As for the space group: F-43m.

Cell and atoms, written as POSCAR:
```
NaAlCoAs
1.0
-1.528 1.223 4.038
-3.269 -2.359 1.971
0.909 -2.520 3.600
Co Al As Na
1 1 1 1
direct
0.500 0.500 0.500
0.250 0.250 0.250
0.000 0.000 0.000
0.750 0.750 0.750
```

---

2) ## NaAlCoAs (PBE-GGA)

Data for an optimized crystal structure of NaAlCoAs.

## Properties
The calculated volume comes out at 60 Å³ per cell. As for the space group: F-43m.

Cell and atoms, written as POSCAR:
```
NaAlCoAs
1.0
-3.181 -2.606 -1.515
-2.744 -1.963 2.798
-4.184 1.286 0.232
Al Na As Co
1 1 1 1
direct
0.500 0.500 0.500
0.750 0.750 0.750
0.000 0.000 0.000
0.250 0.250 0.250
```

---

3) ## NaAlCoAs (PBE-GGA)

Data for an optimized crystal structure of NaAlCoAs.

## Properties
The calculated volume comes out at 63 Å³ per cell. As for the space group: F-43m.

Cell and atoms, written as POSCAR:
```
NaAlCoAs
1.0
-2.030 0.020 3.967
-4.094 -1.710 0.417
-0.604 -3.820 2.213
Al Na Co As
1 1 1 1
direct
0.000 0.000 0.000
0.750 0.750 0.750
0.500 0.500 0.500
0.250 0.250 0.250
```

---

Which of them is the least stable? Correct choice: 3).